[1]
VASP calculation (PBE) on crystalline NdSiPPd2 at its relaxed geometry.

Output
Electronic total energy = -6.19 eV per atom

```
data_NdSiPPd2
_symmetry_space_group_name_H-M 'I 4 m m'
_symmetry_Int_Tables_number 107
_symmetry_space_group_name_Hall 'I 4 -2'
_cell_length_a 4.1893
_cell_length_b 4.1893
_cell_length_c 10.0422
_cell_angle_alpha 90.00
_cell_angle_beta 90.00
_cell_angle_gamma 90.00
loop_
_atom_site_label
_atom_site_type_symbol
_atom_site_fract_x
_atom_site_fract_y
_atom_site_fract_z
Nd1 Nd 0.0000 0.0000 0.0000
Si1 Si 0.0000 0.0000 0.3794
P1 P 0.0000 0.0000 0.6088
Pd1 Pd 0.0000 0.5000 0.2502
```

[2]
VASP calculation (PBE) on crystalline NdSmP2Pd2 at its relaxed geometry.

Output
Electronic total energy = -6.36 eV per atom

```
data_NdSmP2Pd2
_symmetry_space_group_name_H-M 'P -3 m 1'
_symmetry_Int_Tables_number 164
_symmetry_space_group_name_Hall '-P 3 2"'
_cell_length_a 4.2183
_cell_length_b 4.2183
_cell_length_c 7.8463
_cell_angle_alpha 90.00
_cell_angle_beta 90.00
_cell_angle_gamma 120.00
loop_
_atom_site_label
_atom_site_type_symbol
_atom_site_fract_x
_atom_site_fract_y
_atom_site_fract_z
Nd1 Nd 0.0000 0.0000 0.0000
Sm1 Sm 0.0000 0.0000 0.5000
P1 P 0.3333 0.6667 0.2534
Pd1 Pd 0.3333 0.6667 0.7460
```